## TeIrF (PBE)

Data for TeIrF after structural relaxation.

## Properties
Symmetry ... P2_1/m
Raw total energy ... -5.27 eV/atom
V ... 22.423 Å³/atom
Formation energy (no corrections) ... -644 meV per atom

Unit cell a=5.636 b=3.702 c=6.516 alpha=90.00 beta=98.27 gamma=90.00
Fractional positions:
Te: 0.234 0.250 0.105
Te: 0.766 0.750 0.895
Ir: 0.007 0.750 0.261
Ir: 0.993 0.250 0.739
F: 0.177 0.750 0.588
F: 0.823 0.250 0.412


## OsSe (PBE)

Data for OsSe after structural relaxation.

## Properties
Symmetry ... P-3m1
Raw total energy ... -6.73 eV/atom
V ... 22.122 Å³/atom
Formation energy (no corrections) ... 628 meV per atom

Unit cell a=3.838 b=3.838 c=20.804 alpha=90.00 beta=90.00 gamma=120.00
Fractional positions:
Os: 0.000 0.000 0.120
Os: 0.000 0.000 0.880
Os: 0.333 0.667 0.213
Os: 0.333 0.667 0.547
Os: 0.667 0.333 0.453
Os: 0.667 0.333 0.787
Se: 0.000 0.000 0.416
Se: 0.000 0.000 0.584
Se: 0.333 0.667 0.749
Se: 0.333 0.667 0.917
Se: 0.667 0.333 0.083
Se: 0.667 0.333 0.251


## TbDy3Au2 (PBE)

Data for TbDy3Au2 after structural relaxation.

## Properties
Symmetry ... Pmc2_1
Raw total energy ... -4.80 eV/atom
V ... 26.429 Å³/atom
DFT formation energy ... -0.63 eV/atom

Unit cell a=4.974 b=8.962 c=7.114 alpha=90.00 beta=90.00 gamma=90.00
Fractional positions:
Tb: 0.000 0.074 0.000
Tb: 0.000 0.926 0.500
Dy: 0.000 0.332 0.637
Dy: 0.000 0.668 0.137
Dy: 0.500 0.169 0.338
Dy: 0.500 0.427 0.976
Dy: 0.500 0.573 0.476
Dy: 0.500 0.831 0.838
Au: 0.000 0.348 0.230
Au: 0.000 0.652 0.730
Au: 0.500 0.153 0.746
Au: 0.500 0.847 0.246


## TaCrNi2 (PBE)

Data for TaCrNi2 after structural relaxation.

## Properties
Symmetry ... R3m
Raw total energy ... -8.02 eV/atom
V ... 13.257 Å³/atom
DFT formation energy ... 0.24 eV/atom

Unit cell a=8.744 b=8.744 c=8.744 alpha=17.55 beta=17.55 gamma=17.55
Fractional positions:
Ta: 0.000 0.000 0.000
Cr: 0.761 0.761 0.761
Ni: 0.248 0.248 0.248
Ni: 0.502 0.502 0.502


The lowest V belongs to which entry? TaCrNi2